No. 1
# Dy2Zn2Fe15

A relaxed structure of Dy2Zn2Fe15 (GGA-PBE, Alexandria).

The calculation puts the density of states at the Fermi level at 19.274 states/eV per cell. For the formation enthalpy at 0 K, the calculation gives -17 meV per atom.

The structure in POSCAR format:
```
Dy2Zn2Fe15
1.0
4.218 2.435 4.103
-4.218 2.435 4.103
0.000 -4.870 4.103
Dy Zn Fe
2 2 15
direct
0.155 0.155 0.155 Dy
0.845 0.845 0.845 Dy
0.401 0.401 0.401 Zn
0.599 0.599 0.599 Zn
0.000 0.500 0.500 Fe
0.160 0.160 0.661 Fe
0.160 0.661 0.160 Fe
0.191 0.500 0.809 Fe
0.191 0.809 0.500 Fe
0.339 0.840 0.840 Fe
0.500 0.000 0.500 Fe
0.500 0.191 0.809 Fe
0.500 0.500 0.000 Fe
0.500 0.809 0.191 Fe
0.661 0.160 0.160 Fe
0.809 0.191 0.500 Fe
0.809 0.500 0.191 Fe
0.840 0.339 0.840 Fe
0.840 0.840 0.339 Fe
```

=====

No. 2
# NbTcW

A relaxed structure of NbTcW (GGA-PBE, Alexandria).

The calculation puts the density of states at the Fermi level at 1.744 states/eV per cell. For the formation enthalpy at 0 K, the calculation gives -158 meV per atom. As for the distance to the lowest polymorph of the same formula: 10 meV per atom.

The structure in POSCAR format:
```
NbTcW
1.0
4.507 0.000 0.000
-2.253 3.903 0.000
0.000 0.000 5.532
Nb Tc W
2 2 2
direct
0.333 0.667 0.169 Nb
0.667 0.333 0.831 Nb
0.333 0.667 0.662 Tc
0.667 0.333 0.338 Tc
0.000 0.000 0.000 W
0.000 0.000 0.500 W
```

=====

No. 3
# BeZn2Pt

A relaxed structure of BeZn2Pt (GGA-PBE, Alexandria).

The calculation puts the density of states at the Fermi level at 0.443 states/eV per cell. For the formation enthalpy at 0 K, the calculation gives -335 meV per atom.

The structure in POSCAR format:
```
BeZn2Pt
1.0
-1.750 1.949 3.860
1.750 -1.949 3.860
1.750 1.949 -3.860
Be Zn Pt
1 2 1
direct
0.000 0.000 0.000 Be
0.246 0.746 0.500 Zn
0.513 0.513 0.000 Zn
0.779 0.279 0.500 Pt
```

=====

No. 4
# Zn2CrSi

A relaxed structure of Zn2CrSi (GGA-PBE, Alexandria).

The formation energy from raw total energies is 63.1 meV per atom. The calculation puts the density of states at the Fermi level at 2.207 states/eV per cell.

The structure in POSCAR format:
```
Zn2CrSi
1.0
-1.797 1.797 4.246
1.797 -1.797 4.246
1.797 1.797 -4.246
Zn Cr Si
2 1 1
direct
0.250 0.750 0.500 Zn
0.750 0.250 0.500 Zn
0.000 0.000 0.000 Cr
0.500 0.500 0.000 Si
```